VASP calculation (GGA-PBE) on a geometry-optimized Ac3TeC structure.

a = 5.434 Å, b = 5.434 Å, c = 5.434 Å
α = 90.00°, β = 90.00°, γ = 90.00°
Space group Pm-3m (No. 221)
Symmetry-distinct sites (fractional):
Ac: 0.000 0.000 0.500 (multiplicity 3)
Te: 0.500 0.500 0.500 (multiplicity 1)
C: 0.000 0.000 0.000 (multiplicity 1)

Values from the calculation:
The calculation puts the raw formation energy at -0.293 eV/atom.

---

VASP calculation (GGA-PBE) on a geometry-optimized MnRuRh structure.

a = 4.188 Å, b = 4.612 Å, c = 8.068 Å
α = 90.00°, β = 90.00°, γ = 90.00°
Space group Ama2 (No. 40)
Symmetry-distinct sites (fractional):
Mn: 0.250 0.157 0.000 (multiplicity 4)
Ru: 0.250 0.171 0.655 (multiplicity 4)
Rh: 0.250 0.176 0.332 (multiplicity 4)

Values from the calculation:
The value obtained for the formation energy is -0.010 eV/atom. The distance to the lowest polymorph of the same formula is 12 kJ/mol of formula units.

---

VASP calculation (GGA-PBE) on a geometry-optimized PmSmBi structure.

a = 4.593 Å, b = 4.593 Å, c = 17.910 Å
α = 90.00°, β = 90.00°, γ = 90.00°
Space group I4/mmm (No. 139)
Symmetry-distinct sites (fractional):
Pm: 0.000 0.500 0.000 (multiplicity 4)
Sm: 0.000 0.000 0.178 (multiplicity 4)
Bi: 0.000 0.000 0.360 (multiplicity 4)

Values from the calculation:
The value obtained for the formation energy is -0.652 eV/atom. The distance to the lowest polymorph of the same formula is 0 kJ/mol of formula units.